Entry from Alexandria via LeMat-Bulk: PrAlCu2Pd4 after structural relaxation (PBE).

The structure in POSCAR format:
```
PrAlCu2Pd4
1.0
4.368 0.000 0.000
2.184 3.783 0.000
2.184 1.261 8.130
Pr Al Cu Pd
1 1 2 4
Direct
0.000 0.000 0.000
0.500 0.500 0.500
0.757 0.757 0.729
0.243 0.243 0.271
0.400 0.400 0.800
0.868 0.868 0.395
0.132 0.132 0.605
0.600 0.600 0.200
```

## Properties
E_tot = -41.8 eV per cell
Magnetization = 0.00 μB per cell
Calculated volume = 16.8 Å³ per atom
ΔE_f = -0.54 eV/atom
SG = R-3m (166)



Entry from Alexandria via LeMat-Bulk: BeTe3 after structural relaxation (PBE).

The structure in POSCAR format:
```
BeTe3
1.0
6.324 -0.251 0.295
1.034 6.244 -0.295
-1.941 -5.131 3.170
Be Te
1 3
Direct
0.922 0.000 0.922
0.657 0.500 0.157
0.978 0.351 0.627
0.276 0.649 0.627
```

## Properties
E_tot = -12.4 eV per cell
Magnetization = 0.00 μB per cell
Calculated volume = 29.6 Å³ per atom
ΔE_f (raw) = 0.7 eV per formula unit
SG = Imm2 (44)



Entry from Alexandria via LeMat-Bulk: MnCdTe2 after structural relaxation (PBE).

The structure in POSCAR format:
```
MnCdTe2
1.0
5.238 0.000 0.000
2.619 4.536 0.000
2.619 1.512 4.277
Cd Mn Te
1 1 2
Direct
0.500 0.500 0.500
0.750 0.750 0.750
0.000 0.000 0.000
0.250 0.250 0.250
```

## Properties
E_tot = -14.7 eV per cell
Magnetization = 4.51 μB per cell
Calculated volume = 25.4 Å³ per atom
ΔE_f (raw) = 1.7 eV per formula unit
SG = F-43m (216)



Entry from Alexandria via LeMat-Bulk: InSb2Se after structural relaxation (PBE).

The structure in POSCAR format:
```
InSb2Se
1.0
-2.307 -5.376 -1.567
0.815 -1.999 5.658
-7.838 -1.198 3.947
Sb Se In
4 2 2
Direct
0.602 0.125 0.250
0.148 0.625 0.250
0.375 0.398 0.750
0.875 0.852 0.750
0.500 0.500 0.000
0.250 0.750 0.500
0.000 0.000 0.000
0.750 0.250 0.500
```

## Properties
E_tot = -27.7 eV per cell
Magnetization = 0.00 μB per cell
Calculated volume = 35.5 Å³ per atom
ΔE_f (raw) = 0.6 eV per formula unit
SG = I-42d (122)



Entry from Alexandria via LeMat-Bulk: La3Nd2Y4 after structural relaxation (PBE).

The structure in POSCAR format:
```
La3Nd2Y4
1.0
-0.353 -3.699 5.011
-4.225 -10.489 -1.661
7.427 -8.673 0.500
La Nd Y
6 4 8
Direct
0.764 0.022 0.306
0.736 0.694 0.978
0.236 0.978 0.694
0.264 0.306 0.022
0.250 0.620 0.380
0.750 0.380 0.620
0.431 0.253 0.522
0.069 0.478 0.747
0.569 0.747 0.478
0.931 0.522 0.253
0.422 0.940 0.174
0.078 0.826 0.060
0.578 0.060 0.826
0.922 0.174 0.940
0.091 0.157 0.389
0.409 0.611 0.843
0.909 0.843 0.611
0.591 0.389 0.157
```

## Properties
E_tot = -98.7 eV per cell
Magnetization = 0.00 μB per cell
Calculated volume = 34.4 Å³ per atom
ΔE_f = 0.09 eV/atom
SG = C2/c (15)



Entry from Alexandria via LeMat-Bulk: TbMnInBr6 after structural relaxation (PBE).

The structure in POSCAR format:
```
TbMnInBr6
1.0
-0.248 6.355 -3.282
-4.406 -1.378 5.469
9.907 5.182 9.287
Tb Mn In Br
2 2 2 12
Direct
0.667 0.333 0.250
0.333 0.667 0.750
0.333 0.667 0.250
0.667 0.333 0.750
0.000 0.000 0.000
0.000 0.000 0.500
0.624 0.637 0.141
0.013 0.376 0.141
0.376 0.013 0.641
0.987 0.624 0.859
0.363 0.376 0.359
0.013 0.637 0.359
0.637 0.013 0.859
0.624 0.987 0.359
0.987 0.363 0.641
0.363 0.987 0.141
0.637 0.624 0.641
0.376 0.363 0.859
```

## Properties
E_tot = -75.5 eV per cell
Magnetization = 10.00 μB per cell
Calculated volume = 35.8 Å³ per atom
ΔE_f (raw) = -11.2 eV per formula unit
SG = P-31c (163)



Number 1: theoretical density 8.91 Mg/m³. Number 2: theoretical density 5.50 Mg/m³. Number 3: theoretical density 6.90 Mg/m³. Number 4: theoretical density 5.11 Mg/m³. Number 5: theoretical density 5.69 Mg/m³. Number 6: theoretical density 4.16 Mg/m³.